a:
The following is a DFT calculation (PBE) of Zn2SnBiMo after structural relaxation.

abc: 4.997 5.184 4.997
angles: 90.00 90.00 90.00
Atoms (fractional coordinates):
1 Mo 0.000 0.000 0.000
2 Sn 0.000 0.500 0.000
3 Zn 0.000 0.000 0.500
4 Zn 0.500 0.000 0.000
5 Bi 0.500 0.500 0.500

Output
The space group is P4/mmm. The magnetic moment comes out at 0.00 μB per formula unit.

=====

b:
The following is a DFT calculation (PBE) of Zn2SnBiMo after structural relaxation.

abc: 5.031 5.253 5.031
angles: 90.00 90.00 90.00
Atoms (fractional coordinates):
1 Zn 0.500 0.000 0.000
2 Zn 0.000 0.000 0.500
3 Mo 0.000 0.000 0.000
4 Bi 0.000 0.500 0.000
5 Sn 0.500 0.500 0.500

Output
The space group is P4/mmm. The magnetic moment comes out at 0.00 μB per formula unit.

=====

We find b to be the most stable, with the next structure 60 meV per atom higher.

=====

a:
The following is a DFT calculation (PBE) of SrBiMo3 after structural relaxation.

abc: 5.153 5.153 5.153
angles: 90.00 90.00 90.00
Atoms (fractional coordinates):
1 Mo 0.000 0.000 0.500
2 Mo 0.000 0.500 0.000
3 Mo 0.500 0.000 0.000
4 Sr 0.500 0.500 0.500
5 Bi 0.000 0.000 0.000

Output
The space group is Pm-3m. The magnetic moment comes out at 0.00 μB per formula unit.

=====

b:
The following is a DFT calculation (PBE) of SrBiMo3 after structural relaxation.

abc: 4.930 4.930 4.930
angles: 90.00 90.00 90.00
Last column: magnetic moment on the atom in μB.
Atoms (fractional coordinates):
1 Mo 0.000 0.000 0.500  1.13
2 Mo 0.000 0.500 0.000  1.03
3 Mo 0.500 0.000 0.000  1.25
4 Sr 0.000 0.000 0.000  0.08
5 Bi 0.500 0.500 0.500  -0.07

Output
The space group is Pm-3m. The magnetic moment comes out at 4.06 μB per formula unit.

=====

We find a to be the most stable, with the next structure 850 meV per atom higher.